The following is a GGA-PBE calculation of a relaxed structure of Li8PdPb6, from the Alexandria database.

Density of states at the Fermi level = 0.32 states/eV/atom
Energy relative to the elements = -0.20 eV/atom
Energy = -3.05 eV per atom

a b c (Å): 7.285 7.285 7.285
angles (deg): 68.59 68.59 68.59
Positions (direct):
Li 0.141 0.436 0.621
Li 0.234 0.234 0.234
Li 0.379 0.859 0.564
Li 0.436 0.621 0.141
Li 0.564 0.379 0.859
Li 0.621 0.141 0.436
Li 0.766 0.766 0.766
Li 0.859 0.564 0.379
Pd 0.500 0.500 0.500
Pb 0.076 0.856 0.353
Pb 0.144 0.647 0.924
Pb 0.353 0.076 0.856
Pb 0.647 0.924 0.144
Pb 0.856 0.353 0.076
Pb 0.924 0.144 0.647

The following is a GGA-PBE calculation of a relaxed structure of Li2Pd3Pb3, from the Alexandria database.

Density of states at the Fermi level = 0.34 states/eV/atom
Energy relative to the elements = -0.27 eV/atom
Offset from the most stable computed form = 0.074 eV/atom
Energy = -4.09 eV per atom

a b c (Å): 5.293 5.293 15.685
angles (deg): 90.00 90.00 135.16
Positions (direct):
Li 0.227 0.773 0.616
Li 0.227 0.773 0.884
Li 0.773 0.227 0.116
Li 0.773 0.227 0.384
Pd 0.356 0.644 0.031
Pd 0.356 0.644 0.469
Pd 0.381 0.619 0.750
Pd 0.619 0.381 0.250
Pd 0.644 0.356 0.531
Pd 0.644 0.356 0.969
Pb 0.063 0.937 0.100
Pb 0.063 0.937 0.400
Pb 0.330 0.670 0.250
Pb 0.670 0.330 0.750
Pb 0.937 0.063 0.600
Pb 0.937 0.063 0.900

The following is a GGA-PBE calculation of a relaxed structure of Li2Pd4Pb, from the Alexandria database.

Density of states at the Fermi level = 0.42 states/eV/atom
Energy relative to the elements = 0.41 eV/atom
Energy = -3.64 eV per atom

a b c (Å): 7.343 7.343 7.343
angles (deg): 139.92 139.92 57.97
Positions (direct):
Li 0.104 0.104 0.000
Li 0.896 0.896 0.000
Pd 0.000 0.500 0.500
Pd 0.296 0.296 0.000
Pd 0.500 0.000 0.500
Pd 0.704 0.704 0.000
Pb 0.500 0.500 0.000

The following is a GGA-PBE calculation of a relaxed structure of Li3Pd4Pb4, from the Alexandria database.

Density of states at the Fermi level = 0.32 states/eV/atom
Energy relative to the elements = -0.26 eV/atom
Energy = -4.02 eV per atom

a b c (Å): 15.005 15.005 15.005
angles (deg): 167.92 161.54 22.12
Positions (direct):
Li 0.000 0.000 0.000
Li 0.357 0.857 0.500
Li 0.643 0.143 0.500
Pd 0.094 0.594 0.500
Pd 0.268 0.268 0.000
Pd 0.732 0.732 0.000
Pd 0.906 0.406 0.500
Pb 0.186 0.686 0.500
Pb 0.448 0.448 0.000
Pb 0.552 0.552 0.000
Pb 0.814 0.314 0.500